Compound: In2NiHg
Source: Alexandria via LeMat-Bulk
Functional: PBE
Structure: optimized geometry

## Properties
Size of the total moment   0.000 μB per atom
ΔH_f (0 K)   0.06 eV per atom
Raw total energy   -11.3 eV per formula unit
Density   9.42 Mg/m³

a = 3.399 Å, b = 3.399 Å, c = 25.844 Å
α = 90.00°, β = 90.00°, γ = 120.00°
Fractional coordinates of all 12 atoms:
In1 0.000 0.000 0.235
In2 0.000 0.000 0.765
In3 0.333 0.667 0.432
In4 0.333 0.667 0.902
In5 0.667 0.333 0.098
In6 0.667 0.333 0.568
Ni1 0.000 0.000 0.500
Ni2 0.333 0.667 0.167
Ni3 0.667 0.333 0.833
Hg1 0.000 0.000 0.000
Hg2 0.333 0.667 0.667
Hg3 0.667 0.333 0.333

=====

Compound: RbY2TlHg
Source: Alexandria via LeMat-Bulk
Functional: PBE
Structure: optimized geometry

## Properties
Size of the total moment   0.000 μB per atom
ΔH_f (0 K)   1.27 eV per atom
Raw total energy   -10.2 eV per formula unit
Density   5.76 Mg/m³

a = 5.759 Å, b = 5.759 Å, c = 5.811 Å
α = 90.00°, β = 90.00°, γ = 90.00°
Fractional coordinates of all 5 atoms:
Rb1 0.000 0.000 0.000
Y1 0.000 0.500 0.000
Y2 0.500 0.000 0.000
Tl1 0.000 0.000 0.500
Hg1 0.500 0.500 0.500

=====

Compound: CaSe
Source: Alexandria via LeMat-Bulk
Functional: PBE
Structure: optimized geometry

## Properties
Uncorrected formation energy   -3.65 eV per formula unit
Size of the total moment   0.000 μB per atom
Raw total energy   -9.1 eV per formula unit
Density   3.40 Mg/m³

a = 3.900 Å, b = 12.508 Å, c = 7.149 Å
α = 90.00°, β = 90.00°, γ = 90.00°
Fractional coordinates of all 12 atoms:
Ca1 0.000 0.000 0.000
Ca2 0.000 0.151 0.516
Ca3 0.000 0.849 0.516
Ca4 0.500 0.349 0.016
Ca5 0.500 0.500 0.500
Ca6 0.500 0.651 0.016
Se1 0.000 0.347 0.317
Se2 0.000 0.500 0.826
Se3 0.000 0.653 0.317
Se4 0.500 0.000 0.326
Se5 0.500 0.153 0.817
Se6 0.500 0.847 0.817

=====

Compound: K2HfSb2O6
Source: Alexandria via LeMat-Bulk
Functional: PBE
Structure: optimized geometry

## Properties
Uncorrected formation energy   -22.62 eV per formula unit
Size of the total moment   0.000 μB per atom
Raw total energy   -72.8 eV per formula unit
Density   4.50 Mg/m³

a = 5.900 Å, b = 5.900 Å, c = 7.314 Å
α = 93.72°, β = 93.72°, γ = 59.96°
Fractional coordinates of all 11 atoms:
K1 0.175 0.175 0.163
K2 0.825 0.825 0.837
Hf1 0.500 0.500 0.000
Sb1 0.151 0.151 0.700
Sb2 0.849 0.849 0.300
O1 0.172 0.678 0.163
O2 0.322 0.322 0.839
O3 0.322 0.828 0.837
O4 0.678 0.172 0.163
O5 0.678 0.678 0.161
O6 0.828 0.322 0.837